The following is a PBE calculation of CsNaAuS2 after structural relaxation, from the Alexandria database.

Cell: 5.884 7.183 8.253 Å, 115.80 90.00 90.00°
Last column: magnetic moment on the atom in μB.
Fractional positions:
Cs 0.240 0.750 0.500  0.00
Cs 0.760 0.250 0.500  0.00
Na 0.500 0.750 0.000  0.00
Na 0.500 0.250 0.000  0.00
Au 0.000 0.000 0.000  0.19
Au 0.000 0.500 0.000  0.19
S 0.736 0.887 0.774  0.23
S 0.736 0.613 0.226  0.23
S 0.264 0.387 0.774  0.23
S 0.264 0.113 0.226  0.23

Calculated values
Symmetry: Cmme (67)
DOS(E_F) (states/eV/cell): 9.401

The following is a PBE calculation of Cs2NaSb2Au after structural relaxation, from the Alexandria database.

Cell: 7.513 7.501 9.878 Å, 112.31 112.35 90.00°
Fractional positions:
Cs 0.407 0.168 0.336
Cs 0.593 0.832 0.664
Cs 0.070 0.332 0.664
Cs 0.930 0.668 0.336
Na 0.000 0.750 0.000
Na 0.000 0.250 0.000
Sb 0.787 0.082 0.165
Sb 0.378 0.582 0.165
Sb 0.622 0.418 0.835
Sb 0.213 0.918 0.835
Au 0.500 0.750 0.000
Au 0.500 0.250 0.000

Calculated values
Symmetry: Ibam (72)
DOS(E_F) (states/eV/cell): 6.155

The following is a PBE calculation of CsNa2SbAu after structural relaxation, from the Alexandria database.

Cell: 5.816 5.816 5.404 Å, 90.00 90.00 90.00°
Fractional positions:
Cs 0.500 0.500 0.500
Sb 0.000 0.000 0.500
Au 0.000 0.000 0.000
Na 0.000 0.500 0.000
Na 0.500 0.000 0.000

Calculated values
Symmetry: P4/mmm (123)
DOS(E_F) (states/eV/cell): 2.109

The following is a PBE calculation of CsNa2AuSe after structural relaxation, from the Alexandria database.

Cell: 5.466 7.118 5.466 Å, 90.00 90.00 90.00°
Fractional positions:
Cs 0.000 0.500 0.000
Na 0.000 0.000 0.500
Na 0.500 0.000 0.000
Au 0.500 0.500 0.500
Se 0.000 0.000 0.000

Calculated values
Symmetry: P4/mmm (123)
DOS(E_F) (states/eV/cell): 0.000

The following is a PBE calculation of CsNa2SiAu after structural relaxation, from the Alexandria database.

Cell: 5.785 5.785 4.831 Å, 90.00 90.00 90.00°
Fractional positions:
Cs 0.500 0.500 0.500
Na 0.000 0.500 0.000
Na 0.500 0.000 0.000
Si 0.000 0.000 0.000
Au 0.000 0.000 0.500

Calculated values
Symmetry: P4/mmm (123)
ΔE to the lowest computed polymorph (meV per atom): 0
DOS(E_F) (states/eV/cell): 0.904

The following is a PBE calculation of CsNa2SiAu after structural relaxation, from the Alexandria database.

Cell: 5.831 5.831 4.728 Å, 90.00 90.00 90.00°
Fractional positions:
Cs 0.500 0.500 0.500
Na 0.000 0.500 0.000
Na 0.500 0.000 0.000
Si 0.000 0.000 0.500
Au 0.000 0.000 0.000

Calculated values
Symmetry: P4/mmm (123)
ΔE to the lowest computed polymorph (meV per atom): 14
DOS(E_F) (states/eV/cell): 1.427

The following is a PBE calculation of Cs2NaSiAu after structural relaxation, from the Alexandria database.

Cell: 7.350 7.350 4.649 Å, 90.00 90.00 90.00°
Fractional positions:
Cs 0.000 0.500 0.000
Cs 0.500 0.000 0.000
Na 0.500 0.500 0.500
Si 0.000 0.000 0.500
Au 0.000 0.000 0.000

Calculated values
Symmetry: P4/mmm (123)
DOS(E_F) (states/eV/cell): 2.260

The following is a PBE calculation of CsNa2Si2Au2 after structural relaxation, from the Alexandria database.

Cell: 4.953 4.804 9.369 Å, 103.80 90.00 121.03°
Fractional positions:
Cs 0.000 0.000 0.000
Na 0.126 0.252 0.398
Na 0.874 0.748 0.602
Si 0.544 0.088 0.637
Si 0.456 0.912 0.363
Au 0.747 0.493 0.294
Au 0.253 0.507 0.706

Calculated values
Symmetry: C2/m (12)
DOS(E_F) (states/eV/cell): 0.599

The following is a PBE calculation of Cs2NaSnAu after structural relaxation, from the Alexandria database.

Cell: 7.176 7.176 5.193 Å, 90.00 90.00 90.00°
Fractional positions:
Cs 0.000 0.500 0.000
Cs 0.500 0.000 0.000
Na 0.500 0.500 0.500
Au 0.000 0.000 0.000
Sn 0.000 0.000 0.500

Calculated values
Symmetry: P4/mmm (123)
Energy of formation from the pure elements (eV/atom): -0.06
DOS(E_F) (states/eV/cell): 3.835

The following is a PBE calculation of CsNaSr2Au after structural relaxation, from the Alexandria database.

Cell: 6.191 6.191 6.971 Å, 90.00 90.00 90.00°
Fractional positions:
Cs 0.000 0.000 0.500
Sr 0.000 0.500 0.000
Sr 0.500 0.000 0.000
Au 0.000 0.000 0.000
Na 0.500 0.500 0.500

Calculated values
Symmetry: P4/mmm (123)
ΔE to the lowest computed polymorph (meV per atom): 15
Energy of formation from the pure elements (eV/atom): -0.18
DOS(E_F) (states/eV/cell): 3.456

The following is a PBE calculation of CsNaSr2Au after structural relaxation, from the Alexandria database.

Cell: 6.216 6.216 6.376 Å, 90.00 90.00 90.00°
Fractional positions:
Cs 0.500 0.500 0.500
Sr 0.000 0.500 0.000
Sr 0.500 0.000 0.000
Au 0.000 0.000 0.000
Na 0.000 0.000 0.500

Calculated values
Symmetry: P4/mmm (123)
ΔE to the lowest computed polymorph (meV per atom): 0
Energy of formation from the pure elements (eV/atom): -0.20
DOS(E_F) (states/eV/cell): 3.109

The following is a PBE calculation of CsNaTe2Au after structural relaxation, from the Alexandria database.

Cell: 7.121 8.391 7.937 Å, 121.91 90.00 90.00°
Fractional positions:
Cs 0.227 0.750 0.500
Cs 0.773 0.250 0.500
Na 0.500 0.750 0.000
Na 0.500 0.250 0.000
Te 0.717 0.876 0.753
Te 0.717 0.624 0.247
Te 0.283 0.376 0.753
Te 0.283 0.124 0.247
Au 0.000 0.000 0.000
Au 0.000 0.500 0.000

Calculated values
Symmetry: Cmme (67)
DOS(E_F) (states/eV/cell): 6.462

| no. | total magnetic moment (μB/cell) | final energy (eV per cell) | V (Å³ per atom) |
| --- | --- | --- | --- |
| 1 | 2.0 | -34.09 | 31.4 |
| 2 | 0.0 | -33.21 | 39.1 |
| 3 | 0.3 | -12.07 | 36.6 |
| 4 | 0.0 | -13.26 | 42.5 |
| 5 | 0.0 | -12.52 | 32.3 |
| 6 | 0.0 | -12.45 | 32.2 |
| 7 | 0.0 | -11.60 | 50.2 |
| 8 | 0.0 | -21.50 | 26.2 |
| 9 | 0.0 | -10.63 | 53.5 |
| 10 | 0.0 | -9.73 | 53.4 |
| 11 | 0.0 | -9.80 | 49.3 |
| 12 | 0.0 | -29.37 | 40.3 |